(1)
# BaCdRe2, optimized geometry, DFT PBE
data_BaCdRe2
_chemical_formula_sum 'Ba2 Cd2 Re4'
_cell_length_a 3.551
_cell_length_b 4.455
_cell_length_c 10.409
_cell_angle_alpha 90.00
_cell_angle_beta 90.00
_cell_angle_gamma 90.00
_space_group_name_H-M_alt 'C m m m'
_space_group_IT_number 65
_space_group_name_Hall '-C 2 2'
loop_
_atom_site_label
_atom_site_fract_x
_atom_site_fract_y
_atom_site_fract_z
Ba1 0.000 0.000 0.000
Cd1 0.000 0.000 0.500
Re1 0.000 0.500 0.279
# Calculated formation energy (meV per atom): 1286
# Theoretical density (g cm⁻³): 12.55

***

(2)
# Ta2In2Sb, optimized geometry, DFT PBE
data_Ta2In2Sb
_chemical_formula_sum 'Ta2 In2 Sb1'
_cell_length_a 5.473
_cell_length_b 5.473
_cell_length_c 5.367
_cell_angle_alpha 90.00
_cell_angle_beta 90.00
_cell_angle_gamma 90.00
_space_group_name_H-M_alt 'P 4/m m m'
_space_group_IT_number 123
_space_group_name_Hall '-P 4 2'
loop_
_atom_site_label
_atom_site_fract_x
_atom_site_fract_y
_atom_site_fract_z
Ta1 0.000 0.000 0.000
Ta2 0.500 0.500 0.000
In1 0.000 0.500 0.500
Sb1 0.000 0.000 0.500
# ΔE_f (raw) (eV per atom): 1.934
# Theoretical density (g cm⁻³): 7.37

***

(3)
# Ce2PaMn, optimized geometry, DFT PBE
data_Ce2PaMn
_chemical_formula_sum 'Ce2 Pa1 Mn1'
_cell_length_a 3.357
_cell_length_b 3.357
_cell_length_c 7.724
_cell_angle_alpha 90.00
_cell_angle_beta 90.00
_cell_angle_gamma 90.00
_space_group_name_H-M_alt 'P 4/m m m'
_space_group_IT_number 123
_space_group_name_Hall '-P 4 2'
loop_
_atom_site_label
_atom_site_fract_x
_atom_site_fract_y
_atom_site_fract_z
Ce1 0.000 0.000 0.215
Pa1 0.500 0.500 0.500
Mn1 0.500 0.500 0.000
# Calculated formation energy (meV per atom): 167
# Theoretical density (g cm⁻³): 10.80

***

(4)
# TaAs2Os, optimized geometry, DFT PBE
data_TaAs2Os
_chemical_formula_sum 'Ta2 As4 Os2'
_cell_length_a 8.208
_cell_length_b 2.981
_cell_length_c 5.415
_cell_angle_alpha 90.00
_cell_angle_beta 102.70
_cell_angle_gamma 90.00
_space_group_name_H-M_alt 'C 1 2/m 1'
_space_group_IT_number 12
_space_group_name_Hall '-C 2y'
loop_
_atom_site_label
_atom_site_fract_x
_atom_site_fract_y
_atom_site_fract_z
Ta1 0.000 0.000 0.000
As1 0.244 0.000 0.738
Os1 0.000 0.500 0.500
# Calculated formation energy (meV per atom): 191
# Theoretical density (g cm⁻³): 13.39

***

(5)
# AcCoSn, optimized geometry, DFT PBE
data_AcCoSn
_chemical_formula_sum 'Ac2 Co2 Sn2'
_cell_length_a 3.449
_cell_length_b 3.449
_cell_length_c 12.026
_cell_angle_alpha 90.00
_cell_angle_beta 90.00
_cell_angle_gamma 90.00
_space_group_name_H-M_alt 'I 4 m m'
_space_group_IT_number 107
_space_group_name_Hall 'I 4 -2'
loop_
_atom_site_label
_atom_site_fract_x
_atom_site_fract_y
_atom_site_fract_z
Ac1 0.000 0.000 0.000
Co1 0.000 0.000 0.327
Sn1 0.000 0.000 0.721
# Calculated formation energy (meV per atom): -61
# Theoretical density (g cm⁻³): 9.39

***

(6)
# Ba12Cd3I5, optimized geometry, DFT PBE
data_Ba12Cd3I5
_chemical_formula_sum 'Ba96 Cd24 I40'
_cell_length_a 20.815
_cell_length_b 20.815
_cell_length_c 20.815
_cell_angle_alpha 90.00
_cell_angle_beta 90.00
_cell_angle_gamma 90.00
_space_group_name_H-M_alt 'I a -3 d'
_space_group_IT_number 230
_space_group_name_Hall '-I 4bd 2c 3'
loop_
_atom_site_label
_atom_site_fract_x
_atom_site_fract_y
_atom_site_fract_z
Ba1 0.019 0.076 0.652
Cd1 0.000 0.250 0.125
I1 0.000 0.000 0.000
I2 0.000 0.250 0.375
# ΔE_f (raw) (eV per atom): -0.567
# Theoretical density (g cm⁻³): 3.86

***

| no. | total magnetization (μB per formula unit) | DOS(E_F) (states/eV/cell) |
| --- | --- | --- |
| 1 | 0.00 | 6.31 |
| 2 | 1.25 | 6.30 |
| 3 | 0.00 | 6.07 |
| 4 | 0.00 | 6.05 |
| 5 | 0.81 | 5.69 |
| 6 | 0.00 | 211.10 |